Arrangement one

Density functional theory data (PBE) for an optimized crystal structure of Ac3PmP4.

Cell: 7.573 7.573 4.375 Å, 90.00 90.00 109.40°
Element x y z (fractional)
Ac: 0.000 0.000 0.000
Ac: 0.000 0.500 0.500
Ac: 0.500 0.000 0.500
Pm: 0.500 0.500 0.000
P: 0.256 0.744 0.000
P: 0.260 0.260 0.500
P: 0.740 0.740 0.500
P: 0.744 0.256 0.000

Output
The value obtained for the density of states at the Fermi level is 0.55 states/eV/cell. As for the symmetry: Cmmm. The crystal system is orthorhombic.

Arrangement two

Density functional theory data (PBE) for an optimized crystal structure of Ac3PmP4.

Cell: 6.194 6.194 6.194 Å, 90.00 90.00 90.00°
Element x y z (fractional)
Ac: 0.000 0.000 0.500
Ac: 0.000 0.500 0.000
Ac: 0.500 0.000 0.000
Pm: 0.500 0.500 0.500
P: 0.000 0.000 0.000
P: 0.000 0.500 0.500
P: 0.500 0.000 0.500
P: 0.500 0.500 0.000

Output
The value obtained for the density of states at the Fermi level is 2.22 states/eV/cell. As for the symmetry: Pm-3m. The crystal system is cubic.

Energies relative to the most stable structure, in eV/atom: arrangement one 0.000; arrangement two 0.016.

Arrangement one

Density functional theory data (PBE) for an optimized crystal structure of Ac3PrP4.

Cell: 7.603 7.603 4.392 Å, 90.00 90.00 109.41°
Element x y z (fractional)
Ac: 0.000 0.000 0.000
Ac: 0.000 0.500 0.500
Ac: 0.500 0.000 0.500
Pr: 0.500 0.500 0.000
P: 0.254 0.746 0.000
P: 0.258 0.258 0.500
P: 0.742 0.742 0.500
P: 0.746 0.254 0.000

Output
The value obtained for the density of states at the Fermi level is 0.54 states/eV/cell. As for the symmetry: Cmmm. The crystal system is orthorhombic.

Arrangement two

Density functional theory data (PBE) for an optimized crystal structure of Ac3PrP4.

Cell: 6.214 6.214 6.214 Å, 90.00 90.00 90.00°
Element x y z (fractional)
Ac: 0.000 0.000 0.500
Ac: 0.000 0.500 0.000
Ac: 0.500 0.000 0.000
Pr: 0.500 0.500 0.500
P: 0.000 0.000 0.000
P: 0.000 0.500 0.500
P: 0.500 0.000 0.500
P: 0.500 0.500 0.000

Output
The value obtained for the density of states at the Fermi level is 2.31 states/eV/cell. As for the symmetry: Pm-3m. The crystal system is cubic.

Energies relative to the most stable structure, in eV/atom: arrangement one 0.000; arrangement two 0.009.

Arrangement one

Density functional theory data (PBE) for an optimized crystal structure of AcP2Pt.

Cell: 4.503 4.503 4.138 Å, 90.00 90.00 90.00°
Element x y z (fractional)
Ac: 0.000 0.000 0.000
P: 0.000 0.500 0.500
P: 0.500 0.000 0.500
Pt: 0.500 0.500 0.000

Output
The value obtained for the density of states at the Fermi level is 2.42 states/eV/cell. As for the symmetry: P4/mmm. The crystal system is tetragonal.

Arrangement two

Density functional theory data (PBE) for an optimized crystal structure of AcP2Pt.

Cell: 4.720 4.720 4.720 Å, 70.20 70.20 70.20°
Element x y z (fractional)
Ac: 0.000 0.000 0.000
P: 0.286 0.286 0.286
P: 0.714 0.714 0.714
Pt: 0.500 0.500 0.500

Output
The value obtained for the density of states at the Fermi level is 3.51 states/eV/cell. As for the symmetry: R-3m. The crystal system is trigonal.

Energies relative to the most stable structure, in eV/atom: arrangement one 0.218; arrangement two 0.000.

Arrangement one

Density functional theory data (PBE) for an optimized crystal structure of AcPPt.

Cell: 6.189 6.189 4.266 Å, 110.13 110.13 85.74°
Element x y z (fractional)
Ac: 0.246 0.754 0.000
Ac: 0.754 0.246 0.000
P: 0.199 0.199 0.698
P: 0.801 0.801 0.302
Pt: 0.326 0.326 0.324
Pt: 0.674 0.674 0.676

Output
The value obtained for the density of states at the Fermi level is 2.31 states/eV/cell. As for the symmetry: C2/m. The crystal system is monoclinic.

Arrangement two

Density functional theory data (PBE) for an optimized crystal structure of AcPPt.

Cell: 4.319 4.319 4.255 Å, 90.00 90.00 120.00°
Element x y z (fractional)
Ac: 0.000 0.000 0.000
P: 0.333 0.667 0.500
Pt: 0.667 0.333 0.500

Output
The value obtained for the density of states at the Fermi level is 1.50 states/eV/cell. As for the symmetry: P-6m2. The crystal system is hexagonal.

Arrangement three

Density functional theory data (PBE) for an optimized crystal structure of AcPPt.

Cell: 5.885 5.885 5.885 Å, 144.78 144.78 50.66°
Element x y z (fractional)
Ac: 0.000 0.000 0.000
P: 0.280 0.280 0.000
Pt: 0.706 0.706 0.000

Output
The value obtained for the density of states at the Fermi level is 2.70 states/eV/cell. As for the symmetry: I4mm. The crystal system is tetragonal.

Energies relative to the most stable structure, in eV/atom: arrangement one 0.108; arrangement two 0.000; arrangement three 0.773.

Arrangement one

Density functional theory data (PBE) for an optimized crystal structure of Ac2PPt.

Cell: 4.418 4.418 21.661 Å, 90.00 90.00 120.00°
Element x y z (fractional)
Ac: 0.000 0.000 0.248
Ac: 0.000 0.000 0.752
Ac: 0.333 0.667 0.417
Ac: 0.333 0.667 0.918
Ac: 0.667 0.333 0.082
Ac: 0.667 0.333 0.583
P: 0.000 0.000 0.500
P: 0.333 0.667 0.668
P: 0.667 0.333 0.332
Pt: 0.000 0.000 0.000
Pt: 0.333 0.667 0.164
Pt: 0.667 0.333 0.836

Output
The value obtained for the density of states at the Fermi level is 4.24 states/eV/cell. As for the symmetry: P-3m1. The crystal system is trigonal.

Arrangement two

Density functional theory data (PBE) for an optimized crystal structure of Ac2PPt.

Cell: 5.347 5.347 5.347 Å, 60.00 60.00 60.00°
Element x y z (fractional)
Ac: 0.250 0.250 0.250
Ac: 0.750 0.750 0.750
P: 0.000 0.000 0.000
Pt: 0.500 0.500 0.500

Output
The value obtained for the density of states at the Fermi level is 4.27 states/eV/cell. As for the symmetry: Fm-3m. The crystal system is cubic.

Energies relative to the most stable structure, in eV/atom: arrangement one 0.000; arrangement two 0.342.

Arrangement one

Density functional theory data (PBE) for an optimized crystal structure of AcPPt3.

Cell: 6.265 6.265 6.265 Å, 140.89 140.89 56.51°
Element x y z (fractional)
Ac: 0.000 0.000 0.000
P: 0.366 0.366 0.000
Pt: 0.257 0.757 0.500
Pt: 0.579 0.579 0.000
Pt: 0.757 0.257 0.500

Output
The value obtained for the density of states at the Fermi level is 2.82 states/eV/cell. As for the symmetry: I4mm. The crystal system is tetragonal.

Arrangement two

Density functional theory data (PBE) for an optimized crystal structure of AcPPt3.

Cell: 4.713 4.713 4.713 Å, 90.00 90.00 90.00°
Element x y z (fractional)
Ac: 0.000 0.000 0.000
P: 0.500 0.500 0.500
Pt: 0.000 0.500 0.500
Pt: 0.500 0.000 0.500
Pt: 0.500 0.500 0.000

Output
The value obtained for the density of states at the Fermi level is 0.94 states/eV/cell. As for the symmetry: Pm-3m. The crystal system is cubic.

Energies relative to the most stable structure, in eV/atom: arrangement one 0.000; arrangement two 0.180.

Arrangement one

Density functional theory data (PBE) for an optimized crystal structure of Ac2PPt3.

Cell: 8.843 8.754 6.111 Å, 70.46 68.90 40.64°
Element x y z (fractional)
Ac: 0.239 0.761 0.761
Ac: 0.250 0.250 0.250
Ac: 0.750 0.750 0.750
Ac: 0.761 0.239 0.239
P: 0.334 0.334 0.666
P: 0.666 0.666 0.334
Pt: 0.177 0.177 0.823
Pt: 0.177 0.647 0.353
Pt: 0.353 0.823 0.177
Pt: 0.647 0.177 0.823
Pt: 0.823 0.353 0.647
Pt: 0.823 0.823 0.177

Output
The value obtained for the density of states at the Fermi level is 5.87 states/eV/cell. As for the symmetry: Fmmm. The crystal system is orthorhombic.

Arrangement two

Density functional theory data (PBE) for an optimized crystal structure of Ac2PPt3.

Cell: 4.210 4.364 7.769 Å, 90.00 90.00 90.00°
Element x y z (fractional)
Ac: 0.000 0.000 0.000
Ac: 0.000 0.500 0.495
P: 0.500 0.500 0.815
Pt: 0.500 0.000 0.334
Pt: 0.500 0.000 0.689
Pt: 0.500 0.500 0.124

Output
The value obtained for the density of states at the Fermi level is 3.87 states/eV/cell. As for the symmetry: Pmm2. The crystal system is orthorhombic.

Energies relative to the most stable structure, in eV/atom: arrangement one 0.000; arrangement two 0.015.

Arrangement one

Density functional theory data (PBE) for an optimized crystal structure of AcPuP2.

Cell: 7.686 7.686 7.686 Å, 31.22 31.22 31.22°
Element x y z (fractional)
Ac: 0.000 0.000 0.000
Pu: 0.829 0.829 0.829
P: 0.420 0.420 0.420
P: 0.572 0.572 0.572

Output
The value obtained for the density of states at the Fermi level is 9.89 states/eV/cell. As for the symmetry: R3m. The crystal system is trigonal.

Arrangement two

Density functional theory data (PBE) for an optimized crystal structure of AcPuP2.

Cell: 5.108 5.108 5.108 Å, 60.00 60.00 60.00°
Element x y z (fractional)
Ac: 0.000 0.000 0.000
Pu: 0.500 0.500 0.500
P: 0.250 0.250 0.250
P: 0.750 0.750 0.750

Output
The value obtained for the density of states at the Fermi level is 10.22 states/eV/cell. As for the symmetry: Fm-3m. The crystal system is cubic.

Energies relative to the most stable structure, in eV/atom: arrangement one 0.000; arrangement two 0.166.

Arrangement one

Density functional theory data (PBE) for an optimized crystal structure of AcPuP2.

Cell: 3.593 3.593 7.156 Å, 90.00 90.00 90.00°
Element x y z (fractional)
Ac: 0.000 0.000 0.000
Pu: 0.000 0.000 0.500
P: 0.500 0.500 0.274
P: 0.500 0.500 0.726

Output
The value obtained for the density of states at the Fermi level is 9.59 states/eV/cell. As for the symmetry: P4/mmm. The crystal system is tetragonal.

Arrangement two

Density functional theory data (PBE) for an optimized crystal structure of AcPuP2.

Cell: 7.297 7.297 7.297 Å, 33.62 33.62 33.62°
Element x y z (fractional)
Ac: 0.000 0.000 0.000
Pu: 0.500 0.500 0.500
P: 0.240 0.240 0.240
P: 0.760 0.760 0.760

Output
The value obtained for the density of states at the Fermi level is 10.68 states/eV/cell. As for the symmetry: R-3m. The crystal system is trigonal.

Energies relative to the most stable structure, in eV/atom: arrangement one 0.314; arrangement two 0.000.

Arrangement one

Density functional theory data (PBE) for an optimized crystal structure of AcPuP.

Cell: 5.008 5.008 5.008 Å, 60.00 60.00 60.00°
Element x y z (fractional)
Ac: 0.000 0.000 0.000
Pu: 0.500 0.500 0.500
P: 0.250 0.250 0.250

Output
The value obtained for the density of states at the Fermi level is 11.53 states/eV/cell. As for the symmetry: F-43m. The crystal system is cubic.

Arrangement two

Density functional theory data (PBE) for an optimized crystal structure of AcPuP.

Cell: 12.394 12.394 12.394 Å, 17.98 17.98 17.98°
Element x y z (fractional)
Ac: 0.114 0.114 0.114
Ac: 0.886 0.886 0.886
Pu: 0.348 0.348 0.348
Pu: 0.652 0.652 0.652
P: 0.273 0.273 0.273
P: 0.727 0.727 0.727

Output
The value obtained for the density of states at the Fermi level is 9.15 states/eV/cell. As for the symmetry: R-3m. The crystal system is trigonal.

Arrangement three

Density functional theory data (PBE) for an optimized crystal structure of AcPuP.

Cell: 6.575 6.575 6.575 Å, 146.93 146.93 47.47°
Element x y z (fractional)
Ac: 0.000 0.000 0.000
Pu: 0.262 0.262 0.000
P: 0.664 0.664 0.000

Output
The value obtained for the density of states at the Fermi level is 7.15 states/eV/cell. As for the symmetry: I4mm. The crystal system is tetragonal.

Arrangement four

Density functional theory data (PBE) for an optimized crystal structure of AcPuP.

Cell: 4.023 4.023 6.810 Å, 90.00 90.00 120.00°
Element x y z (fractional)
Ac: 0.000 0.000 0.000
Pu: 0.667 0.333 0.516
P: 0.333 0.667 0.292

Output
The value obtained for the density of states at the Fermi level is 9.45 states/eV/cell. As for the symmetry: P3m1. The crystal system is trigonal.

Energies relative to the most stable structure, in eV/atom: arrangement one 0.123; arrangement two 0.078; arrangement three 0.067; arrangement four 0.000.

Arrangement one

Density functional theory data (PBE) for an optimized crystal structure of AcPu2P.

Cell: 3.625 3.625 8.476 Å, 90.00 90.00 90.00°
Element x y z (fractional)
Ac: 0.000 0.000 0.000
Pu: 0.500 0.500 0.330
Pu: 0.500 0.500 0.670
P: 0.000 0.000 0.500

Output
The value obtained for the density of states at the Fermi level is 14.28 states/eV/cell. As for the symmetry: P4/mmm. The crystal system is tetragonal.

Arrangement two

Density functional theory data (PBE) for an optimized crystal structure of AcPu2P.

Cell: 10.719 10.719 10.719 Å, 20.02 20.02 20.02°
Element x y z (fractional)
Ac: 0.000 0.000 0.000
Pu: 0.112 0.112 0.112
Pu: 0.888 0.888 0.888
P: 0.500 0.500 0.500

Output
The value obtained for the density of states at the Fermi level is 17.69 states/eV/cell. As for the symmetry: R-3m. The crystal system is trigonal.

Energies relative to the most stable structure, in eV/atom: arrangement one 0.000; arrangement two 0.138.

Arrangement one

Density functional theory data (PBE) for an optimized crystal structure of AcReP.

Cell: 8.363 8.363 4.642 Å, 90.00 90.00 155.31°
Element x y z (fractional)
Ac: 0.091 0.909 0.750
Ac: 0.909 0.091 0.250
Re: 0.273 0.727 0.750
Re: 0.727 0.273 0.250
P: 0.416 0.584 0.750
P: 0.584 0.416 0.250

Output
The value obtained for the density of states at the Fermi level is 6.41 states/eV/cell. As for the symmetry: Cmcm. The crystal system is orthorhombic.

Arrangement two

Density functional theory data (PBE) for an optimized crystal structure of AcReP.

Cell: 6.154 6.154 6.154 Å, 149.06 149.06 44.33°
Element x y z (fractional)
Ac: 0.000 0.000 0.000
Re: 0.292 0.292 0.000
P: 0.707 0.707 0.000

Output
The value obtained for the density of states at the Fermi level is 2.87 states/eV/cell. As for the symmetry: I4mm. The crystal system is tetragonal.

Arrangement three

Density functional theory data (PBE) for an optimized crystal structure of AcReP.

Cell: 4.081 4.081 4.810 Å, 90.00 90.00 120.00°
Element x y z (fractional)
Ac: 0.000 0.000 0.000
Re: 0.667 0.333 0.500
P: 0.333 0.667 0.500

Output
The value obtained for the density of states at the Fermi level is 3.20 states/eV/cell. As for the symmetry: P-6m2. The crystal system is hexagonal.

Energies relative to the most stable structure, in eV/atom: arrangement one 0.458; arrangement two 0.249; arrangement three 0.000.